A geometry-optimized Pr8DyY3 structure, computed with GGA-PBE.

```
data_Pr8DyY3
_symmetry_space_group_name_H-M 'C 1 2 1'
_symmetry_Int_Tables_number 5
_symmetry_space_group_name_Hall 'C 2y'
_cell_length_a 16.217
_cell_length_b 6.423
_cell_length_c 11.118
_cell_angle_alpha 90.00
_cell_angle_beta 133.18
_cell_angle_gamma 90.00
loop_
_atom_site_label
_atom_site_type_symbol
_atom_site_fract_x
_atom_site_fract_y
_atom_site_fract_z
Pr1 Pr 0.000 0.000 0.165
Pr2 Pr 0.000 0.500 0.334
Pr3 Pr 0.249 0.666 0.084
Pr4 Pr 0.250 0.166 0.585
Dy1 Dy 0.000 0.495 0.000
Y1 Y 0.000 0.996 0.500
Y2 Y 0.250 0.171 0.250
```

## Properties
Crystal system ... monoclinic
Size of the total moment ... 0.0 μB/f.u.
Total energy ... -5.159 eV/atom

A geometry-optimized Pr3DyY4 structure, computed with GGA-PBE.

```
data_Pr3DyY4
_symmetry_space_group_name_H-M 'I m m m'
_symmetry_Int_Tables_number 71
_symmetry_space_group_name_Hall '-I 2 2'
_cell_length_a 3.503
_cell_length_b 11.795
_cell_length_c 13.191
_cell_angle_alpha 90.00
_cell_angle_beta 90.00
_cell_angle_gamma 90.00
loop_
_atom_site_label
_atom_site_type_symbol
_atom_site_fract_x
_atom_site_fract_y
_atom_site_fract_z
Pr1 Pr 0.000 0.000 0.000
Pr2 Pr 0.000 0.500 0.243
Dy1 Dy 0.000 0.000 0.500
Y1 Y 0.000 0.246 0.366
```

## Properties
Crystal system ... orthorhombic
Size of the total moment ... 0.0 μB/f.u.
Total energy ... -5.470 eV/atom

A geometry-optimized PrDyY structure, computed with GGA-PBE.

```
data_PrDyY
_symmetry_space_group_name_H-M 'P m m a'
_symmetry_Int_Tables_number 51
_symmetry_space_group_name_Hall '-P 2a 2a'
_cell_length_a 6.438
_cell_length_b 3.576
_cell_length_c 8.868
_cell_angle_alpha 90.00
_cell_angle_beta 90.00
_cell_angle_gamma 90.00
loop_
_atom_site_label
_atom_site_type_symbol
_atom_site_fract_x
_atom_site_fract_y
_atom_site_fract_z
Pr1 Pr 0.250 0.000 0.148
Dy1 Dy 0.000 0.000 0.500
Y1 Y 0.250 0.500 0.802
```

## Properties
Crystal system ... orthorhombic
Size of the total moment ... 0.0 μB/f.u.
Total energy ... -5.110 eV/atom

A geometry-optimized Pr4DyY structure, computed with GGA-PBE.

```
data_Pr4DyY
_symmetry_space_group_name_H-M 'C m m m'
_symmetry_Int_Tables_number 65
_symmetry_space_group_name_Hall '-C 2 2'
_cell_length_a 5.197
_cell_length_b 15.516
_cell_length_c 5.197
_cell_angle_alpha 90.00
_cell_angle_beta 90.00
_cell_angle_gamma 90.00
loop_
_atom_site_label
_atom_site_type_symbol
_atom_site_fract_x
_atom_site_fract_y
_atom_site_fract_z
Pr1 Pr 0.000 0.165 0.000
Pr2 Pr 0.000 0.335 0.500
Dy1 Dy 0.000 0.000 0.500
Y1 Y 0.000 0.500 0.000
```

## Properties
Crystal system ... orthorhombic
Size of the total moment ... 0.0 μB/f.u.
Total energy ... -5.011 eV/atom

What is the total energy in the first record?
-5.159 eV/atom

The lowest total energy belongs to which entry?
Pr3DyY4